[1]
RbSnRh | Alexandria | PBE | relaxed; magnetization = 0.0 μB per formula unit; final energy = -26.38 eV for the cell shown; crystal system = tetragonal; ΔE_f = -27.9 kJ/mol of atoms
1.0
-0.2674 -4.3383 1.3837
3.7952 -0.9783 -2.3338
4.8309 1.9476 7.0397
Sn Rh Rb
2 2 2
direct
0.5000 0.0000 0.6542 Sn
0.0000 0.5000 0.3458 Sn
0.5000 0.5000 0.5000 Rh
0.0000 0.0000 0.5000 Rh
0.0000 0.5000 0.8365 Rb
0.5000 0.0000 0.1635 Rb

---

[2]
CaLa4PrNd2 | Alexandria | PBE | relaxed; magnetization = 0.0 μB per formula unit; final energy = -67.01 eV for the cell shown; crystal system = monoclinic; ΔE_f = 30.4 kJ/mol of atoms
1.0
-8.8050 3.5548 -2.6723
2.8050 0.8529 -9.4160
2.5623 -9.0103 8.0144
Ca La Nd Pr
2 8 4 2
direct
0.0000 0.0000 0.0000 Ca
0.5000 0.5000 0.5000 Ca
0.2460 0.2503 0.9855 La
0.7798 0.2785 0.5292 La
0.7501 0.7459 0.4854 La
0.2499 0.2541 0.5146 La
0.2202 0.7214 0.4708 La
0.7540 0.7497 0.0145 La
0.7785 0.2798 0.0292 La
0.2215 0.7202 0.9708 La
0.5000 0.0000 0.0000 Nd
0.5000 0.5000 0.0000 Nd
0.5000 0.0000 0.5000 Nd
0.0000 0.0000 0.5000 Nd
0.0000 0.5000 0.0000 Pr
0.0000 0.5000 0.5000 Pr

---

[3]
TaTi2Pt | Alexandria | PBE | relaxed; magnetization = 0.0 μB per formula unit; final energy = -67.51 eV for the cell shown; crystal system = tetragonal; ΔE_f = -1.8 kJ/mol of atoms
1.0
7.2548 0.0000 0.0000
0.0000 7.2548 0.0000
3.6274 3.6274 2.7211
Ti Ta Pt
4 2 2
direct
0.8750 0.8984 0.7500 Ti
0.6484 0.1250 0.2500 Ti
0.3750 0.3516 0.7500 Ti
0.1016 0.6250 0.2500 Ti
0.5000 0.5000 0.0000 Ta
0.2500 0.7500 0.5000 Ta
0.7500 0.2500 0.5000 Pt
0.0000 0.0000 0.0000 Pt

---

[4]
BaSr2LiRh | Alexandria | PBE | relaxed; magnetization = 0.0 μB per formula unit; final energy = -14.55 eV for the cell shown; crystal system = tetragonal; ΔE_f = 0.1 kJ/mol of atoms
1.0
5.8255 0.0000 0.0000
0.0000 5.8255 0.0000
0.0000 0.0000 5.5034
Sr Rh Ba Li
2 1 1 1
direct
0.0000 0.5000 0.0000 Sr
0.5000 0.0000 0.0000 Sr
0.0000 0.0000 0.0000 Rh
0.5000 0.5000 0.5000 Ba
0.0000 0.0000 0.5000 Li

---

[5]
Er2Al4IrPt3 | Alexandria | PBE | relaxed; magnetization = 0.0 μB per formula unit; final energy = -61.88 eV for the cell shown; crystal system = tetragonal; ΔE_f = -104.2 kJ/mol of atoms
1.0
4.1658 0.0000 0.0000
0.0000 4.1658 0.0000
0.0000 0.0000 10.4871
Ir Al Pt Er
1 4 3 2
direct
0.5000 0.5000 0.5000 Ir
0.5000 0.0000 0.6283 Al
0.0000 0.0000 0.0000 Al
0.5000 0.5000 0.0000 Al
0.0000 0.5000 0.3717 Al
0.5000 0.0000 0.8624 Pt
0.0000 0.5000 0.1376 Pt
0.0000 0.0000 0.5000 Pt
0.5000 0.0000 0.2588 Er
0.0000 0.5000 0.7412 Er

---

[6]
BeAl2Ga | Alexandria | PBE | relaxed; magnetization = 0.0 μB per formula unit; final energy = -12.92 eV for the cell shown; crystal system = trigonal; ΔE_f = 31.8 kJ/mol of atoms
1.0
-3.7366 -0.1730 -1.0701
-2.5384 -2.0472 2.1219
-3.1210 3.5436 3.2521
Be Al Ga
1 2 1
direct
0.5078 0.5078 0.4767 Be
0.2462 0.2462 0.2614 Al
0.0841 0.0841 0.7476 Al
0.6619 0.6619 0.0143 Ga

---

[7]
Pm2NdDy7 | Alexandria | PBE | relaxed; magnetization = 0.0 μB per formula unit; final energy = -44.21 eV for the cell shown; crystal system = triclinic; ΔE_f = 22.0 kJ/mol of atoms
1.0
0.4923 3.6119 4.1743
-6.0398 4.8567 -3.4565
-2.1920 -7.8603 3.3644
Dy Pm Nd
7 2 1
direct
0.6146 0.9420 0.2279 Dy
0.3510 0.6487 0.6992 Dy
0.3854 0.0580 0.7721 Dy
0.5000 0.5000 0.0000 Dy
0.6490 0.3513 0.3008 Dy
0.8688 0.3308 0.7374 Dy
0.1312 0.6692 0.2626 Dy
0.7694 0.8067 0.5388 Pm
0.2306 0.1933 0.4612 Pm
0.0000 0.0000 0.0000 Nd

---

[8]
Mg8Ag2Ru | Alexandria | PBE | relaxed; magnetization = 0.0 μB per formula unit; final energy = -28.82 eV for the cell shown; crystal system = orthorhombic; ΔE_f = -9.6 kJ/mol of atoms
1.0
4.3340 0.0000 -1.3190
-1.1208 6.4842 -3.6827
-0.0292 -0.0258 7.6839
Ag Mg Ru
2 8 1
direct
0.1994 0.6994 0.3987 Ag
0.8006 0.3006 0.6013 Ag
0.6481 0.4254 0.2961 Mg
0.0000 0.2999 0.0000 Mg
0.6481 0.8707 0.2961 Mg
0.0000 0.7001 0.0000 Mg
0.1388 0.1388 0.2776 Mg
0.8612 0.8612 0.7224 Mg
0.3519 0.1293 0.7039 Mg
0.3519 0.5746 0.7039 Mg
0.5000 0.0000 0.0000 Ru

---

[9]
Ta2Ti2N3 | Alexandria | PBE | relaxed; magnetization = 0.0 μB per formula unit; E_form (uncorrected) = -123 kJ/mol of atoms; final energy = -73.39 eV for the cell shown; crystal system = triclinic
1.0
-0.9622 -1.2444 -2.5881
4.2787 -2.7192 1.4997
-3.6564 -2.6916 2.6532
N Ta Ti
3 2 2
direct
0.0000 0.0000 0.0000 N
0.2513 0.5013 0.7545 N
0.7487 0.4987 0.2455 N
0.8799 0.7581 0.6283 Ta
0.1201 0.2419 0.3717 Ta
0.6286 0.2566 0.8792 Ti
0.3714 0.7434 0.1208 Ti

---

[10]
InAsWBr2 | Alexandria | PBE | relaxed; magnetization = 1.7 μB per formula unit; E_form (uncorrected) = 23 kJ/mol of atoms; final energy = -22.48 eV for the cell shown; crystal system = tetragonal
1.0
-1.1183 2.8287 4.4622
2.5281 -3.7185 2.9908
4.1936 2.4482 -0.5010
Br In As W
2 1 1 1
direct
0.5000 0.0000 0.0000 Br
0.0000 0.5000 0.0000 Br
0.5000 0.5000 0.5000 In
0.0000 0.0000 0.5000 As
0.0000 0.0000 0.0000 W

---

[11]
TmMgIn4 | Alexandria | PBE | relaxed; magnetization = 0.0 μB per formula unit; final energy = -16.99 eV for the cell shown; crystal system = tetragonal; ΔE_f = 0.5 kJ/mol of atoms
1.0
4.6772 0.0000 -0.0014
-0.0001 4.6814 -0.0020
0.0041 0.0065 7.8511
In Mg Tm
4 1 1
direct
0.0014 0.4973 0.7292 In
0.5014 0.9971 0.2668 In
0.5012 0.9974 0.7295 In
0.0013 0.4974 0.2671 In
0.0012 0.9973 0.4982 Mg
0.5013 0.4973 0.9981 Tm

---

[12]
AcTmMgPb2 | Alexandria | PBE | relaxed; magnetization = 0.0 μB per formula unit; final energy = -37.68 eV for the cell shown; crystal system = orthorhombic; ΔE_f = -24.1 kJ/mol of atoms
1.0
6.5164 0.0000 0.0000
0.0000 6.7091 0.0000
0.0000 -3.3545 7.4340
Mg Pb Ac Tm
2 4 2 2
direct
0.0000 0.0000 0.0000 Mg
0.0000 0.5000 0.0000 Mg
0.2759 0.1469 0.2938 Pb
0.7241 0.6469 0.2938 Pb
0.7241 0.8531 0.7062 Pb
0.2759 0.3531 0.7062 Pb
0.7706 0.2500 0.5000 Ac
0.2294 0.7500 0.5000 Ac
0.5000 0.7500 0.0000 Tm
0.5000 0.2500 0.0000 Tm

---

[13]
La6TbIn5 | Alexandria | PBE | relaxed; magnetization = 0.0 μB per formula unit; final energy = -52.79 eV for the cell shown; crystal system = orthorhombic; ΔE_f = -39.5 kJ/mol of atoms
1.0
4.9316 0.0206 -1.4391
-1.2810 8.2043 -4.2724
0.0709 -0.4049 9.4069
La In Tb
6 5 1
direct
0.5000 0.7356 0.0000 La
0.8278 0.5680 0.6556 La
0.5000 0.2644 0.0000 La
0.8278 0.0876 0.6556 La
0.1722 0.4320 0.3444 La
0.1722 0.9124 0.3444 La
0.3294 0.3294 0.6589 In
0.3471 0.8471 0.6942 In
0.0000 0.5000 0.0000 In
0.6529 0.1529 0.3058 In
0.6706 0.6706 0.3411 In
0.0000 0.0000 0.0000 Tb

---

[14]
CeDyTm | Alexandria | PBE | relaxed; magnetization = 0.7 μB per formula unit; final energy = -57.07 eV for the cell shown; crystal system = orthorhombic; ΔE_f = 23.8 kJ/mol of atoms
1.0
-2.0730 -6.0320 -0.8478
10.0227 -3.2883 -1.1106
1.3392 2.1793 5.6325
Ce Tm Dy
4 4 4
direct
0.9991 0.2500 0.9997 Ce
0.4991 0.2500 0.9997 Ce
0.0009 0.7500 0.0003 Ce
0.5009 0.7500 0.0003 Ce
0.8424 0.5000 0.1850 Tm
0.6576 0.0000 0.8150 Tm
0.1576 0.5000 0.8150 Tm
0.3424 0.0000 0.1850 Tm
0.5010 0.6565 0.5003 Dy
0.0010 0.8435 0.5003 Dy
0.9990 0.1565 0.4997 Dy
0.4990 0.3435 0.4997 Dy

---

[15]
Ba3Tl8Au3 | Alexandria | PBE | relaxed; magnetization = 0.0 μB per formula unit; final energy = -39.04 eV for the cell shown; crystal system = monoclinic; ΔE_f = -31.1 kJ/mol of atoms
1.0
-3.5284 -1.6020 3.7202
-5.6995 -6.5351 -4.3416
1.9807 -9.3743 1.7202
Tl Au Ba
8 3 3
direct
0.1406 0.1568 0.5620 Tl
0.3451 0.0264 0.2834 Tl
0.5031 0.6660 0.3278 Tl
0.8594 0.8432 0.4380 Tl
0.6549 0.9736 0.7166 Tl
0.4969 0.3340 0.6722 Tl
0.1452 0.5670 0.1426 Tl
0.8548 0.4330 0.8574 Tl
0.6545 0.6934 0.9976 Au
0.3455 0.3066 0.0024 Au
0.0000 0.5000 0.5000 Au
0.2855 0.7070 0.7221 Ba
0.0000 0.0000 0.0000 Ba
0.7145 0.2930 0.2779 Ba

---

[16]
Ca2Si4NiRh3 | Alexandria | PBE | relaxed; magnetization = 0.0 μB per formula unit; E_form (uncorrected) = -78 kJ/mol of atoms; final energy = -61.58 eV for the cell shown; crystal system = tetragonal
1.0
4.1147 0.0000 0.0000
0.0000 4.1147 0.0000
0.0000 0.0000 9.8594
Si Rh Ca Ni
4 3 2 1
direct
0.5000 0.0000 0.6226 Si
0.0000 0.0000 0.0000 Si
0.5000 0.5000 0.0000 Si
0.0000 0.5000 0.3774 Si
0.5000 0.0000 0.8709 Rh
0.0000 0.0000 0.5000 Rh
0.0000 0.5000 0.1291 Rh
0.0000 0.5000 0.7489 Ca
0.5000 0.0000 0.2511 Ca
0.5000 0.5000 0.5000 Ni

---

[17]
KGa3Tc | Alexandria | PBE | relaxed; magnetization = 0.0 μB per formula unit; final energy = -39.15 eV for the cell shown; crystal system = hexagonal; ΔE_f = 18.7 kJ/mol of atoms
1.0
4.0764 -2.3535 0.0000
0.0000 4.7070 0.0000
0.0000 0.0000 10.2279
Ga K Tc
6 2 2
direct
0.0000 0.0000 0.7500 Ga
0.6667 0.3333 0.9459 Ga
0.3333 0.6667 0.4459 Ga
0.3333 0.6667 0.0541 Ga
0.0000 0.0000 0.2500 Ga
0.6667 0.3333 0.5541 Ga
0.6667 0.3333 0.2500 K
0.3333 0.6667 0.7500 K
0.0000 0.0000 0.0000 Tc
0.0000 0.0000 0.5000 Tc

---

[18]
AlSeCl2 | Alexandria | PBE | relaxed; magnetization = 2.1 μB per formula unit; E_form (uncorrected) = 28 kJ/mol of atoms; final energy = -9.78 eV for the cell shown; crystal system = cubic
1.0
0.0000 3.5422 3.5422
3.5422 0.0000 3.5422
3.5422 3.5422 0.0000
Cl Al Se
2 1 1
direct
0.2500 0.2500 0.2500 Cl
0.7500 0.7500 0.7500 Cl
0.0000 0.0000 0.0000 Al
0.5000 0.5000 0.5000 Se

---

[19]
YIr3 | Alexandria | PBE | relaxed; magnetization = 0.0 μB per formula unit; final energy = -33.88 eV for the cell shown; crystal system = orthorhombic; ΔE_f = -20.1 kJ/mol of atoms
1.0
2.9153 0.0000 0.0000
0.0000 4.6267 0.0000
0.0000 0.0000 5.0211
Ir Y
3 1
direct
0.5000 0.0000 0.5139 Ir
0.0000 0.0000 0.9605 Ir
0.5000 0.5000 0.8490 Ir
0.0000 0.5000 0.3433 Y

---

[20]
FeAg5 | Alexandria | PBE | relaxed; magnetization = 3.1 μB per formula unit; final energy = -21.41 eV for the cell shown; crystal system = monoclinic; ΔE_f = 21.0 kJ/mol of atoms
1.0
1.4276 5.5095 -0.0147
-1.4276 5.5095 -0.0147
0.0000 1.8672 6.5151
Ag Fe
5 1
direct
0.3299 0.3299 0.3338 Ag
0.9927 0.9927 0.0016 Ag
0.6689 0.6689 0.6802 Ag
0.6164 0.6164 0.2637 Ag
0.9446 0.9446 0.6126 Ag
0.2807 0.2807 0.9416 Fe

---

Asked for D(E_F) across the records above, the calculation gives 0.4, 29.6, 12.6, 3.3, 5.2, 1.5, 14.9, 4.6, 2.9, 2.0, 3.5, 7.4, 12.7, 26.5, 8.1, 5.7, 6.2, 3.0, 3.7, 3.8 states/eV per cell in order.